A plane-wave DFT calculation with PBE was carried out for a geometry-optimized TbPaAl6 structure.

Properties
Its energy of formation from the pure elements is -0.347 eV per atom. As for the calculated density: 5.79 g/cm³.

a b c (Å): 6.296 6.296 4.609
angles (deg): 90.00 90.00 120.00
Positions (direct):
Tb: 0.000 0.000 0.000
Pa: 0.333 0.667 0.500
Al: 0.373 0.186 0.500
Al: 0.520 0.040 0.000
Al: 0.520 0.480 0.000
Al: 0.814 0.186 0.500
Al: 0.814 0.627 0.500
Al: 0.960 0.480 0.000


A plane-wave DFT calculation with PBE was carried out for a geometry-optimized TbThPaAl structure.

Properties
Its energy of formation from the pure elements is 0.160 eV per atom. As for the calculated density: 10.24 g/cm³.

a b c (Å): 7.494 7.494 7.494
angles (deg): 90.00 90.00 90.00
Positions (direct):
Tb: 0.000 0.000 0.000
Tb: 0.000 0.500 0.500
Tb: 0.500 0.000 0.500
Tb: 0.500 0.500 0.000
Th: 0.250 0.250 0.750
Th: 0.250 0.750 0.250
Th: 0.750 0.250 0.250
Th: 0.750 0.750 0.750
Pa: 0.000 0.000 0.500
Pa: 0.000 0.500 0.000
Pa: 0.500 0.000 0.000
Pa: 0.500 0.500 0.500
Al: 0.250 0.250 0.250
Al: 0.250 0.750 0.750
Al: 0.750 0.250 0.750
Al: 0.750 0.750 0.250


A plane-wave DFT calculation with PBE was carried out for a geometry-optimized TbPaAlZn structure.

Properties
Its energy of formation from the pure elements is -0.086 eV per atom. As for the calculated density: 8.73 g/cm³.

a b c (Å): 7.160 7.160 7.160
angles (deg): 90.00 90.00 90.00
Positions (direct):
Tb: 0.000 0.000 0.000
Tb: 0.000 0.500 0.500
Tb: 0.500 0.000 0.500
Tb: 0.500 0.500 0.000
Pa: 0.000 0.000 0.500
Pa: 0.000 0.500 0.000
Pa: 0.500 0.000 0.000
Pa: 0.500 0.500 0.500
Al: 0.250 0.250 0.750
Al: 0.250 0.750 0.250
Al: 0.750 0.250 0.250
Al: 0.750 0.750 0.750
Zn: 0.250 0.250 0.250
Zn: 0.250 0.750 0.750
Zn: 0.750 0.250 0.750
Zn: 0.750 0.750 0.250


A plane-wave DFT calculation with PBE was carried out for a geometry-optimized Pa3AlTc4 structure.

Properties
Its energy of formation from the pure elements is -0.033 eV per atom. As for the calculated density: 11.46 g/cm³.

a b c (Å): 5.658 6.940 8.206
angles (deg): 90.00 90.00 90.00
Positions (direct):
Pa: 0.000 0.000 0.000
Pa: 0.000 0.222 0.618
Pa: 0.000 0.778 0.618
Pa: 0.500 0.278 0.118
Pa: 0.500 0.500 0.500
Pa: 0.500 0.722 0.118
Al: 0.000 0.500 0.042
Al: 0.500 0.000 0.542
Tc: 0.000 0.321 0.313
Tc: 0.000 0.679 0.313
Tc: 0.250 0.000 0.288
Tc: 0.250 0.500 0.788
Tc: 0.500 0.179 0.813
Tc: 0.500 0.821 0.813
Tc: 0.750 0.000 0.288
Tc: 0.750 0.500 0.788


A plane-wave DFT calculation with PBE was carried out for a geometry-optimized Pa5AlTc3 structure.

Properties
Its energy of formation from the pure elements is 0.051 eV per atom. As for the calculated density: 11.41 g/cm³.

a b c (Å): 6.965 6.965 9.657
angles (deg): 104.41 104.41 75.06
Positions (direct):
Pa: 0.026 0.026 0.692
Pa: 0.107 0.547 0.361
Pa: 0.197 0.803 0.000
Pa: 0.245 0.245 0.933
Pa: 0.453 0.893 0.639
Pa: 0.547 0.107 0.361
Pa: 0.755 0.755 0.067
Pa: 0.803 0.197 0.000
Pa: 0.893 0.453 0.639
Pa: 0.974 0.974 0.308
Al: 0.440 0.440 0.730
Al: 0.560 0.560 0.270
Tc: 0.168 0.168 0.198
Tc: 0.222 0.222 0.530
Tc: 0.500 0.500 0.000
Tc: 0.500 0.500 0.500
Tc: 0.778 0.778 0.470
Tc: 0.832 0.832 0.802


A plane-wave DFT calculation with PBE was carried out for a geometry-optimized PaAl10Tc2 structure.

Properties
Its energy of formation from the pure elements is -0.383 eV per atom. As for the calculated density: 5.37 g/cm³.

a b c (Å): 6.883 6.883 9.170
angles (deg): 90.00 90.00 97.41
Positions (direct):
Pa: 0.130 0.870 0.750
Pa: 0.870 0.130 0.250
Al: 0.141 0.408 0.750
Al: 0.156 0.844 0.100
Al: 0.156 0.844 0.400
Al: 0.217 0.479 0.250
Al: 0.225 0.225 0.000
Al: 0.225 0.225 0.500
Al: 0.377 0.623 0.547
Al: 0.377 0.623 0.953
Al: 0.408 0.141 0.250
Al: 0.479 0.217 0.750
Al: 0.521 0.783 0.250
Al: 0.592 0.859 0.750
Al: 0.623 0.377 0.047
Al: 0.623 0.377 0.453
Al: 0.775 0.775 0.000
Al: 0.775 0.775 0.500
Al: 0.783 0.521 0.750
Al: 0.844 0.156 0.600
Al: 0.844 0.156 0.900
Al: 0.859 0.592 0.250
Tc: 0.000 0.500 0.000
Tc: 0.000 0.500 0.500
Tc: 0.500 0.000 0.000
Tc: 0.500 0.000 0.500


A plane-wave DFT calculation with PBE was carried out for a geometry-optimized Pa2AlTc structure.

Properties
Its energy of formation from the pure elements is 0.060 eV per atom. As for the calculated density: 11.19 g/cm³.

a b c (Å): 8.724 3.240 6.169
angles (deg): 90.00 91.98 90.00
Positions (direct):
Pa: 0.227 0.000 0.264
Pa: 0.273 0.500 0.736
Pa: 0.727 0.500 0.264
Pa: 0.773 0.000 0.736
Al: 0.000 0.500 0.000
Al: 0.500 0.000 0.000
Tc: 0.000 0.500 0.500
Tc: 0.500 0.000 0.500


A plane-wave DFT calculation with PBE was carried out for a geometry-optimized Pa5AlTc5 structure.

Properties
Its energy of formation from the pure elements is -0.066 eV per atom. As for the calculated density: 11.51 g/cm³.

a b c (Å): 6.494 6.494 8.256
angles (deg): 108.53 108.53 47.64
Positions (direct):
Pa: 0.000 0.000 0.000
Pa: 0.318 0.318 0.162
Pa: 0.327 0.327 0.660
Pa: 0.673 0.673 0.340
Pa: 0.682 0.682 0.838
Al: 0.000 0.000 0.500
Tc: 0.132 0.132 0.316
Tc: 0.140 0.140 0.818
Tc: 0.500 0.500 0.500
Tc: 0.860 0.860 0.182
Tc: 0.868 0.868 0.684